[1]
Here is a relaxed Dy16Er6Tm7 crystal from Alexandria via LeMat-Bulk. Energies are from PBE.

Calculated density ... 8.46 g/cm3
Total magnetization ... 0.000 μB per atom
Energy of formation from the pure elements ... 0.236 eV/atom
Total DFT energy (no corrections) ... -125.46 eV/f.u.

```
data_Dy16Er6Tm7
_chemical_formula_sum 'Dy64 Er24 Tm28'
_space_group_name_H-M_alt 'F m -3 m'
_space_group_IT_number 225
_space_group_name_Hall '-F 4 2 3'
_cell_length_a 15.545
_cell_length_b 15.545
_cell_length_c 15.545
_cell_angle_alpha 90.00
_cell_angle_beta 90.00
_cell_angle_gamma 90.00
loop_
_atom_site_label
_atom_site_type_symbol
_atom_site_fract_x
_atom_site_fract_y
_atom_site_fract_z
Dy1 Dy 0.122 0.122 0.122
Dy2 Dy 0.151 0.151 0.349
Er1 Er 0.000 0.000 0.277
Tm1 Tm 0.000 0.000 0.000
Tm2 Tm 0.000 0.250 0.250
```



[2]
Here is a relaxed BeInAsBr2 crystal from Alexandria via LeMat-Bulk. Energies are from PBE.

Raw formation energy ... -22 meV per atom
Calculated density ... 4.83 g/cm3
Energy above the most stable polymorph in this dataset ... 0.000 eV per atom
Total magnetization ... 0.000 μB per atom
Total DFT energy (no corrections) ... -14.57 eV/f.u.

```
data_BeInAsBr2
_chemical_formula_sum 'Be1 In1 As1 Br2'
_space_group_name_H-M_alt 'P 4/m m m'
_space_group_IT_number 123
_space_group_name_Hall '-P 4 2'
_cell_length_a 5.275
_cell_length_b 5.275
_cell_length_c 4.430
_cell_angle_alpha 90.00
_cell_angle_beta 90.00
_cell_angle_gamma 90.00
loop_
_atom_site_label
_atom_site_type_symbol
_atom_site_fract_x
_atom_site_fract_y
_atom_site_fract_z
Be1 Be 0.000 0.000 0.000
In1 In 0.500 0.500 0.500
As1 As 0.000 0.000 0.500
Br1 Br 0.000 0.500 0.000
```